First-principles (PBE) data for ZrSc2Al after structural relaxation, as listed in Alexandria.

a b c (Å): 4.830 3.166 11.582
angles (deg): 90.00 90.00 90.00
Space group Amm2 (No. 38)
Symmetry-distinct sites (fractional):
Zr (0.000, 0.000, 0.000) x2
Sc (0.000, 0.000, 0.731) x2
Sc (0.500, 0.000, 0.397) x2
Al (0.500, 0.000, 0.134) x2

Output
DFT formation energy = -0.59 eV per formula unit
crystal system = orthorhombic